Entry 1:
# Ta4Cu

A relaxed structure of Ta4Cu (GGA-PBE, Alexandria via LeMat-Bulk).

symmetry	I4/mmm, No. 139
excess energy over the best structure of this formula in the dataset	840.2	meV per atom

Cell: 7.3624 7.3624 7.3624 Å, 150.40 150.40 42.36°
Last column: nearest neighbours and their distance in Å.
Positions (direct):
Ta  0.0910  0.0910  0.0000  1 Ta 2.50
Ta  0.2500  0.7500  0.5000  8 Ta 2.66-2.88
Ta  0.7500  0.2500  0.5000  8 Ta 2.66-2.88
Ta  0.9090  0.9090  0.0000  1 Ta 2.50
Cu  0.5000  0.5000  0.0000  8 Ta 2.94

Entry 2:
# Ta3Cu2

A relaxed structure of Ta3Cu2 (GGA-PBE, Alexandria via LeMat-Bulk).

E	-8.528	eV/atom
symmetry	Fdd2, No. 43

Cell: 7.1140 5.4673 8.2647 Å, 58.23 40.79 80.98°
Last column: nearest neighbours and their distance in Å.
Positions (direct):
Ta  0.0000  0.0000  0.0000  6 Cu 2.69-2.96, 6 Ta 2.82-2.98
Ta  0.2500  0.2500  0.2500  6 Cu 2.69-2.96, 6 Ta 2.82-2.98
Ta  0.3582  0.6690  0.4314  6 Cu 2.67-2.98, 6 Ta 2.78-2.98
Ta  0.6690  0.3582  0.5414  6 Cu 2.67-2.98, 6 Ta 2.78-2.98
Ta  0.7086  0.8186  0.5810  6 Cu 2.67-2.98, 6 Ta 2.78-2.98
Ta  0.8186  0.7086  0.8918  6 Cu 2.67-2.98, 6 Ta 2.78-2.98
Cu  0.1194  0.4713  0.9738  9 Ta 2.67-2.98, 2 Cu 2.82
Cu  0.2762  0.8145  0.1306  9 Ta 2.67-2.98, 2 Cu 2.82
Cu  0.4713  0.1194  0.4355  9 Ta 2.67-2.98, 2 Cu 2.82
Cu  0.8145  0.2762  0.7787  9 Ta 2.67-2.98, 2 Cu 2.82

| no. | D(E_F) (states/eV per atom) | total moment (μB/atom) |
| --- | --- | --- |
| 1 | 1.11 | 0.000 |
| 2 | 1.15 | 0.000 |